Record 1
The following is a DFT calculation (PBE-GGA) of Zn3SiPd after structural relaxation.

Computed properties:
* E_form (uncorrected): 0.523 eV per atom
* V: 97.34 Å³/cell
* space group: Pm-3m (221)

Unit cell a=4.600 b=4.600 c=4.600 alpha=90.00 beta=90.00 gamma=90.00
Element x y z (fractional)
Zn: 0.000 0.000 0.500
Zn: 0.000 0.500 0.000
Zn: 0.500 0.000 0.000
Si: 0.000 0.000 0.000
Pd: 0.500 0.500 0.500

Record 2
The following is a DFT calculation (PBE-GGA) of Ho4Sc3In4 after structural relaxation.

Computed properties:
* V: 291.96 Å³/cell
* ΔE_f: -0.263 eV/atom
* space group: Immm (71)

Unit cell a=10.563 b=10.563 c=10.563 alpha=161.67 beta=127.81 gamma=55.79
Element x y z (fractional)
Ho: 0.022 0.841 0.181
Ho: 0.340 0.159 0.181
Ho: 0.660 0.841 0.819
Ho: 0.978 0.159 0.819
Sc: 0.000 0.500 0.500
Sc: 0.408 0.408 0.000
Sc: 0.592 0.592 0.000
In: 0.276 0.776 0.500
In: 0.281 0.000 0.281
In: 0.719 0.000 0.719
In: 0.724 0.224 0.500

Record 3
The following is a DFT calculation (PBE-GGA) of YScF5 after structural relaxation.

Computed properties:
* E_form (uncorrected): -3.748 eV per atom
* V: 228.29 Å³/cell
* space group: C2/c (15)

Unit cell a=5.834 b=5.834 c=7.597 alpha=108.78 beta=108.78 gamma=75.00
Element x y z (fractional)
Y: 0.030 0.970 0.750
Y: 0.970 0.030 0.250
Sc: 0.500 0.500 0.000
Sc: 0.500 0.500 0.500
F: 0.175 0.818 0.026
F: 0.182 0.825 0.474
F: 0.244 0.271 0.377
F: 0.271 0.244 0.877
F: 0.348 0.652 0.750
F: 0.652 0.348 0.250
F: 0.729 0.756 0.123
F: 0.756 0.729 0.623
F: 0.818 0.175 0.526
F: 0.825 0.182 0.974

Record 4
The following is a DFT calculation (PBE-GGA) of LaMnIn2 after structural relaxation.

Computed properties:
* V: 95.71 Å³/cell
* ΔE_f: -0.126 eV/atom
* space group: Pmmm (47)

Unit cell a=3.446 b=3.511 c=7.911 alpha=90.00 beta=90.00 gamma=90.00
Element x y z (fractional)
La: 0.000 0.000 0.000
Mn: 0.000 0.000 0.500
In: 0.500 0.500 0.298
In: 0.500 0.500 0.702

Record 5
The following is a DFT calculation (PBE-GGA) of BaOsRu after structural relaxation.

Computed properties:
* V: 337.96 Å³/cell
* ΔE_f: 0.632 eV/atom
* space group: Pnma (62)

Unit cell a=6.747 b=4.336 c=11.551 alpha=90.00 beta=90.00 gamma=90.00
Element x y z (fractional)
Ba: 0.133 0.250 0.144
Ba: 0.367 0.750 0.644
Ba: 0.633 0.250 0.356
Ba: 0.867 0.750 0.856
Os: 0.173 0.250 0.461
Os: 0.327 0.750 0.961
Os: 0.673 0.250 0.039
Os: 0.827 0.750 0.539
Ru: 0.075 0.750 0.392
Ru: 0.425 0.250 0.892
Ru: 0.575 0.750 0.108
Ru: 0.925 0.250 0.608

Record 6
The following is a DFT calculation (PBE-GGA) of Er2Al3AgAu4 after structural relaxation.

Computed properties:
* V: 201.26 Å³/cell
* ΔE_f: -0.571 eV/atom
* space group: P-4m2 (115)

Unit cell a=4.209 b=4.209 c=11.362 alpha=90.00 beta=90.00 gamma=90.00
Element x y z (fractional)
Er: 0.000 0.500 0.249
Er: 0.500 0.000 0.751
Al: 0.000 0.500 0.871
Al: 0.500 0.000 0.129
Al: 0.500 0.500 0.500
Ag: 0.000 0.000 0.500
Au: 0.000 0.000 0.000
Au: 0.000 0.500 0.656
Au: 0.500 0.000 0.344
Au: 0.500 0.500 0.000

Record 7
The following is a DFT calculation (PBE-GGA) of CrCd after structural relaxation.

Computed properties:
* V: 44.23 Å³/cell
* ΔE_f: 0.903 eV/atom
* space group: Fm-3m (225)

Unit cell a=3.969 b=3.969 c=3.969 alpha=60.00 beta=60.00 gamma=60.00
Element x y z (fractional)
Cr: 0.000 0.000 0.000
Cd: 0.500 0.500 0.500

Record 8
The following is a DFT calculation (PBE-GGA) of KRb8Tl2 after structural relaxation.

Computed properties:
* V: 796.30 Å³/cell
* ΔE_f: 0.011 eV/atom
* space group: C2/m (12)

Unit cell a=11.060 b=11.060 c=7.381 alpha=109.49 beta=109.49 gamma=77.25
Element x y z (fractional)
K: 0.000 0.000 0.000
Rb: 0.160 0.507 0.333
Rb: 0.220 0.220 0.719
Rb: 0.303 0.697 0.000
Rb: 0.493 0.840 0.667
Rb: 0.507 0.160 0.333
Rb: 0.697 0.303 0.000
Rb: 0.780 0.780 0.281
Rb: 0.840 0.493 0.667
Tl: 0.113 0.887 0.500
Tl: 0.887 0.113 0.500

Record 9
The following is a DFT calculation (PBE-GGA) of LaMg2NiPb after structural relaxation.

Computed properties:
* V: 122.23 Å³/cell
* ΔE_f: -0.188 eV/atom
* space group: P4/mmm (123)

Unit cell a=4.915 b=4.915 c=5.059 alpha=90.00 beta=90.00 gamma=90.00
Element x y z (fractional)
La: 0.000 0.000 0.000
Mg: 0.000 0.500 0.500
Mg: 0.500 0.000 0.500
Ni: 0.500 0.500 0.500
Pb: 0.500 0.500 0.000

Record 10
The following is a DFT calculation (PBE-GGA) of Li2SbF after structural relaxation.

Computed properties:
* E_form (uncorrected): -1.480 eV per atom
* V: 140.50 Å³/cell
* space group: I-42d (122)

Unit cell a=5.788 b=5.788 c=5.788 alpha=118.26 beta=118.26 gamma=93.05
Element x y z (fractional)
Li: 0.375 0.211 0.336
Li: 0.789 0.125 0.164
Li: 0.875 0.039 0.664
Li: 0.961 0.625 0.836
Sb: 0.250 0.750 0.500
Sb: 0.500 0.500 0.000
F: 0.000 0.000 0.000
F: 0.750 0.250 0.500

Record 11
The following is a DFT calculation (PBE-GGA) of SrHgSe4 after structural relaxation.

Computed properties:
* E_form (uncorrected): -0.344 eV per atom
* V: 149.66 Å³/cell
* space group: F-43m (216)

Unit cell a=5.960 b=5.960 c=5.960 alpha=60.00 beta=60.00 gamma=60.00
Element x y z (fractional)
Sr: 0.000 0.000 0.000
Hg: 0.750 0.750 0.750
Se: 0.375 0.375 0.375
Se: 0.375 0.375 0.874
Se: 0.375 0.874 0.375
Se: 0.874 0.375 0.375

Record 12
The following is a DFT calculation (PBE-GGA) of BeAl2Cu after structural relaxation.

Computed properties:
* V: 52.85 Å³/cell
* ΔE_f: 0.058 eV/atom
* space group: P4/mmm (123)

Unit cell a=3.800 b=3.800 c=3.659 alpha=90.00 beta=90.00 gamma=90.00
Element x y z (fractional)
Be: 0.000 0.000 0.000
Al: 0.000 0.500 0.500
Al: 0.500 0.000 0.500
Cu: 0.500 0.500 0.000